(1)
Below is a geometry-optimized HgP2Rh structure, with properties calculated at the PBE-GGA level.

Geometry as POSCAR:
```
HgP2Rh
1.0
0.000 3.219 3.219
3.219 0.000 3.219
3.219 3.219 0.000
Hg P Rh
1 2 1
Cartesian
0.000 0.000 0.000 Hg
1.609 1.609 1.609 P
3.219 3.219 3.219 P
4.828 4.828 4.828 Rh
```

Raw total energy: -16.008 eV per cell
SG: F-43m
Fermi-level density of states: 3.05 states/eV per cell
Formation energy from the elements: 0.62 eV per atom

=====

(2)
Below is a geometry-optimized HgP2Rh structure, with properties calculated at the PBE-GGA level.

Geometry as POSCAR:
```
HgP2Rh
1.0
-1.592 2.571 4.083
1.592 -2.571 4.083
1.592 2.571 -4.083
Hg P Rh
1 2 1
Cartesian
0.000 0.000 0.000 Hg
1.592 0.000 2.334 P
0.000 0.000 3.988 P
0.000 2.571 1.659 Rh
```

Raw total energy: -17.227 eV per cell
SG: Imm2
Fermi-level density of states: 2.14 states/eV per cell
Formation energy from the elements: 0.31 eV per atom

=====

(3)
Below is a geometry-optimized HgP2Rh structure, with properties calculated at the PBE-GGA level.

Geometry as POSCAR:
```
HgP2Rh
1.0
-1.974 1.974 4.207
1.974 -1.974 4.207
1.974 1.974 -4.207
Hg P Rh
1 2 1
Cartesian
0.000 0.000 0.000 Hg
1.974 0.000 2.103 P
0.000 0.000 4.207 P
0.000 1.974 2.103 Rh
```

Raw total energy: -16.463 eV per cell
SG: I-4m2
Fermi-level density of states: 2.16 states/eV per cell
Formation energy from the elements: 0.50 eV per atom

=====

(4)
Below is a geometry-optimized HgPRh structure, with properties calculated at the PBE-GGA level.

Geometry as POSCAR:
```
HgPRh
1.0
0.000 3.115 3.115
3.115 0.000 3.115
3.115 3.115 0.000
Hg P Rh
1 1 1
Cartesian
0.000 0.000 0.000 Hg
4.673 4.673 4.673 P
1.558 1.558 1.558 Rh
```

Energy above the most stable polymorph in this dataset: 1136.0 meV per atom
Raw total energy: -10.658 eV per cell
SG: F-43m
Fermi-level density of states: 2.69 states/eV per cell
Formation energy from the elements: 0.80 eV per atom

=====

(5)
Below is a geometry-optimized HgP2Rh structure, with properties calculated at the PBE-GGA level.

Geometry as POSCAR:
```
HgP2Rh
1.0
6.777 -1.478 0.000
6.777 1.478 0.000
-1.025 0.000 3.952
Hg P Rh
1 2 1
Cartesian
0.000 0.000 0.000 Hg
8.462 0.000 2.210 P
10.387 0.000 1.243 P
3.177 0.000 3.415 Rh
```

Raw total energy: -18.526 eV per cell
SG: Cm
Fermi-level density of states: 1.64 states/eV per cell
Formation energy from the elements: -0.01 eV per atom

=====

(6)
Below is a geometry-optimized HgP2Rh structure, with properties calculated at the PBE-GGA level.

Geometry as POSCAR:
```
HgP2Rh
1.0
3.813 0.000 0.000
0.000 3.348 0.000
-1.801 0.000 5.834
Hg P Rh
1 2 1
Cartesian
0.000 0.000 0.000 Hg
-0.086 1.674 2.992 P
1.332 0.000 3.191 P
1.944 1.674 1.553 Rh
```

Raw total energy: -18.571 eV per cell
SG: Pm
Fermi-level density of states: 1.81 states/eV per cell
Formation energy from the elements: -0.02 eV per atom

=====

(7)
Below is a geometry-optimized HgPRh3 structure, with properties calculated at the PBE-GGA level.

Geometry as POSCAR:
```
HgPRh3
1.0
4.400 0.000 0.000
0.000 4.400 0.000
0.000 0.000 4.400
Hg P Rh
1 1 3
Cartesian
0.000 0.000 0.000 Hg
2.200 2.200 2.200 P
0.000 2.200 2.200 Rh
2.200 0.000 2.200 Rh
2.200 2.200 0.000 Rh
```

Energy above the most stable polymorph in this dataset: 0.0 meV per atom
Raw total energy: -28.227 eV per cell
SG: Pm-3m
Fermi-level density of states: 0.67 states/eV per cell
Formation energy from the elements: -0.09 eV per atom

=====

(8)
Below is a geometry-optimized HgP2Rh structure, with properties calculated at the PBE-GGA level.

Geometry as POSCAR:
```
HgP2Rh
1.0
1.646 0.950 7.137
-1.646 0.950 7.137
0.000 -1.901 7.137
Hg P Rh
1 2 1
Cartesian
0.000 0.000 0.000 Hg
0.000 0.000 10.638 P
0.000 0.000 16.474 P
0.000 0.000 4.971 Rh
```

Raw total energy: -18.343 eV per cell
SG: R3m
Fermi-level density of states: 2.16 states/eV per cell
Formation energy from the elements: 0.03 eV per atom

=====

(9)
Below is a geometry-optimized Hg4PRh structure, with properties calculated at the PBE-GGA level.

Geometry as POSCAR:
```
Hg4PRh
1.0
0.000 3.998 3.998
3.998 0.000 3.998
3.998 3.998 0.000
Hg P Rh
4 1 1
Cartesian
1.000 1.000 1.000 Hg
2.997 2.997 1.000 Hg
2.997 1.000 2.997 Hg
1.000 2.997 2.997 Hg
5.996 5.996 5.996 P
3.998 3.998 3.998 Rh
```

Raw total energy: -9.625 eV per cell
SG: F-43m
Fermi-level density of states: 1.11 states/eV per cell
Formation energy from the elements: 0.72 eV per atom

=====

(10)
Below is a geometry-optimized HgP2Rh structure, with properties calculated at the PBE-GGA level.

Geometry as POSCAR:
```
HgP2Rh
1.0
1.812 1.046 6.531
-1.812 1.046 6.531
0.000 -2.092 6.531
Hg P Rh
1 2 1
Cartesian
0.000 0.000 0.000 Hg
0.000 0.000 4.437 P
0.000 0.000 15.157 P
0.000 0.000 9.797 Rh
```

Raw total energy: -18.511 eV per cell
SG: R-3m
Fermi-level density of states: 1.88 states/eV per cell
Formation energy from the elements: -0.01 eV per atom

=====

(11)
Below is a geometry-optimized HgPRh structure, with properties calculated at the PBE-GGA level.

Geometry as POSCAR:
```
HgPRh
1.0
3.985 0.000 0.000
-1.992 3.451 0.000
0.000 0.000 3.939
Hg P Rh
1 1 1
Cartesian
0.000 0.000 0.000 Hg
0.000 2.300 1.969 P
1.992 1.150 1.969 Rh
```

Energy above the most stable polymorph in this dataset: 380.1 meV per atom
Raw total energy: -12.926 eV per cell
SG: P-6m2
Fermi-level density of states: 2.08 states/eV per cell
Formation energy from the elements: 0.05 eV per atom

=====

(12)
Below is a geometry-optimized HgP2Rh structure, with properties calculated at the PBE-GGA level.

Geometry as POSCAR:
```
HgP2Rh
1.0
4.285 0.000 0.000
0.000 4.285 0.000
0.000 0.000 3.566
Hg P Rh
1 2 1
Cartesian
0.000 0.000 0.000 Hg
0.000 2.143 1.783 P
2.143 0.000 1.783 P
2.143 2.143 0.000 Rh
```

Raw total energy: -16.538 eV per cell
SG: P4/mmm
Fermi-level density of states: 1.96 states/eV per cell
Formation energy from the elements: 0.48 eV per atom